The following is a PBE calculation of a relaxed BaY2HfSe crystal, from Alexandria via LeMat-Bulk.

Computed properties:
* electronic total energy: -28.31 eV per formula unit
* V: 35.10 A^3/atom
* raw formation energy: -1.9 kJ/mol of formula units
* spin magnetization: 1.485 Bohr magnetons per cell

Cell and atoms, written as POSCAR:
```
BaY2HfSe
1.0
-2.707 -4.364 1.662
5.203 -2.947 0.736
0.280 1.766 5.093
Ba Y Hf Se
1 2 1 1
Cartesian
2.601 -1.473 0.368 Ba
-1.353 -2.182 0.831 Y
0.140 0.883 2.546 Y
1.388 -2.772 3.745 Hf
0.000 0.000 0.000 Se
```